[1]
Compound: BiAu2Se
Source: Alexandria via LeMat-Bulk
Functional: PBE-GGA
Structure: optimized geometry

The structure in POSCAR format:
```
BiAu2Se
1.0
4.0890 0.0000 0.0000
2.0445 3.5412 0.0000
2.0445 1.1804 6.5050
Au Bi Se
2 1 1
Cartesian
2.0445 1.1804 1.4925 Au
6.1335 3.5412 5.0125 Au
4.0890 2.3608 3.2525 Bi
0.0000 0.0000 0.0000 Se
```

Calculated values
ΔE_f (raw)   -0.005 eV/atom

---

[2]
Compound: BiAu2Se2
Source: Alexandria via LeMat-Bulk
Functional: PBE-GGA
Structure: optimized geometry

The structure in POSCAR format:
```
BiAu2Se2
1.0
4.3733 0.0000 0.0000
0.0000 4.3733 0.0000
2.1866 2.1866 6.0508
Au Bi Se
2 1 2
Cartesian
2.1866 2.1866 1.3395 Au
4.3733 4.3733 4.7113 Au
0.0000 0.0000 0.0000 Bi
4.3733 2.1866 3.0254 Se
2.1866 4.3733 3.0254 Se
```

Calculated values
ΔE_f (raw)   0.248 eV/atom

---

[3]
Compound: Bi2AuSe
Source: Alexandria via LeMat-Bulk
Functional: PBE-GGA
Structure: optimized geometry

The structure in POSCAR format:
```
Bi2AuSe
1.0
-0.8958 -4.8208 -3.9889
3.8462 -3.6026 3.4902
-4.0750 -6.3850 3.6236
Au Bi Se
2 4 2
Cartesian
0.0000 0.0000 0.0000 Au
-1.7478 -7.7087 -0.3073 Au
-1.1148 -5.1507 -1.2263 Bi
1.2901 -4.3593 2.6641 Bi
-2.0226 -7.8794 2.4647 Bi
-0.4019 -12.2273 2.3474 Bi
1.4752 -4.2117 -0.2493 Se
0.6232 -7.0996 3.4322 Se
```

Calculated values
ΔE_f (raw)   0.083 eV/atom

---

[4]
Compound: BiAuSe3
Source: Alexandria via LeMat-Bulk
Functional: PBE-GGA
Structure: optimized geometry

The structure in POSCAR format:
```
BiAuSe3
1.0
-1.7696 4.5333 -1.4637
-3.2503 -2.2905 -3.1644
-3.4826 -0.1657 3.6971
Au Bi Se
1 1 3
Cartesian
0.0000 0.0000 0.0000 Au
-4.2512 1.0385 -0.4655 Bi
-1.6252 -1.1452 -1.5822 Se
-1.7413 -0.0829 1.8485 Se
-0.8848 2.2666 -0.7318 Se
```

Calculated values
ΔE_f (raw)   0.344 eV/atom
Energy relative to the lowest polymorph listed for this composition   0.451 eV per atom

---

[5]
Compound: Bi2AuSe
Source: Alexandria via LeMat-Bulk
Functional: PBE-GGA
Structure: optimized geometry

The structure in POSCAR format:
```
Bi2AuSe
1.0
4.0489 0.0000 0.0000
2.0245 3.5065 0.0000
2.0245 1.1688 7.6470
Au Bi Se
1 2 1
Cartesian
0.0000 0.0000 0.0000 Au
2.0245 1.1688 1.7964 Bi
6.0734 3.5065 5.8506 Bi
4.0489 2.3377 3.8235 Se
```

Calculated values
ΔE_f (raw)   -0.107 eV/atom

---

[6]
Compound: SnBiAu2Se
Source: Alexandria via LeMat-Bulk
Functional: PBE-GGA
Structure: optimized geometry

The structure in POSCAR format:
```
SnBiAu2Se
1.0
-1.5886 2.6893 -3.8939
-2.8181 -4.6491 -2.0612
-4.0670 1.3242 2.5738
Au Bi Se Sn
2 1 1 1
Cartesian
-2.0335 0.6621 1.2869 Au
-0.7943 1.3447 -1.9469 Au
-1.4091 -2.3245 -1.0306 Bi
0.0000 0.0000 0.0000 Se
-4.2369 -0.3178 -1.6906 Sn
```

Calculated values
ΔE_f (raw)   0.391 eV/atom

---

[7]
Compound: BiTeAu2Se
Source: Alexandria via LeMat-Bulk
Functional: PBE-GGA
Structure: optimized geometry

The structure in POSCAR format:
```
BiTeAu2Se
1.0
-1.7078 3.2034 3.3861
-3.9879 1.8482 -3.7598
-3.1643 -3.4447 1.6629
Te Au Bi Se
1 2 1 1
Cartesian
-1.9940 0.9241 -1.8799 Te
-1.5821 -1.7224 0.8314 Au
-0.8539 1.6017 1.6931 Au
-4.4300 0.8034 0.6446 Bi
0.0000 0.0000 0.0000 Se
```

Calculated values
ΔE_f (raw)   0.398 eV/atom

---

[8]
Compound: TlBiAuSe3
Source: Alexandria via LeMat-Bulk
Functional: PBE-GGA
Structure: optimized geometry

The structure in POSCAR format:
```
TlBiAuSe3
1.0
4.2060 0.0000 0.0000
0.0000 8.7303 0.2595
0.0000 -2.0604 9.4321
Tl Bi Au Se
2 2 2 6
Cartesian
1.0515 0.9977 1.8802 Tl
3.1545 5.6722 7.8114 Tl
1.0515 5.4663 1.5603 Bi
3.1545 1.2036 8.1312 Bi
1.0515 -0.1780 4.9236 Au
3.1545 6.8479 4.7679 Au
3.1545 7.5166 1.4595 Se
1.0515 -0.8468 8.2321 Se
1.0515 5.4805 4.5679 Se
3.1545 1.1894 5.1236 Se
3.1545 3.3823 1.6578 Se
1.0515 3.2876 8.0337 Se
```

Calculated values
ΔE_f (raw)   -0.242 eV/atom

---

[9]
Compound: Tl2BiAuSe
Source: Alexandria via LeMat-Bulk
Functional: PBE-GGA
Structure: optimized geometry

The structure in POSCAR format:
```
Tl2BiAuSe
1.0
4.3026 0.0000 0.0000
0.0000 4.3026 0.0000
0.0000 0.0000 16.3932
Tl Bi Au Se
4 2 2 2
Cartesian
0.0000 2.1513 11.6616 Tl
0.0000 2.1513 1.3245 Tl
2.1513 0.0000 15.0687 Tl
2.1513 0.0000 4.7316 Tl
2.1513 0.0000 10.2264 Bi
0.0000 2.1513 6.1669 Bi
0.0000 0.0000 8.1966 Au
2.1513 2.1513 8.1966 Au
2.1513 0.0000 1.7436 Se
0.0000 2.1513 14.6496 Se
```

Calculated values
ΔE_f (raw)   -0.104 eV/atom

---

[10]
Compound: TlBi2AuSe4
Source: Alexandria via LeMat-Bulk
Functional: PBE-GGA
Structure: optimized geometry

The structure in POSCAR format:
```
TlBi2AuSe4
1.0
-0.5538 -1.7427 -3.9511
7.0178 1.9281 0.5647
3.3661 -13.9109 5.6637
Tl Bi Au Se
2 4 2 8
Cartesian
4.2539 -10.1620 3.8858 Tl
5.5762 -3.5634 -1.6086 Tl
6.8253 -7.0262 2.1423 Bi
1.7307 -1.4335 -2.0090 Bi
3.0049 -6.6993 0.1349 Bi
8.0995 -12.2920 4.2862 Bi
7.1341 -10.5385 1.2495 Au
2.6961 -3.1870 1.0278 Au
4.0008 -0.9107 -0.1591 Se
4.8634 -8.8227 0.8110 Se
5.8293 -12.8148 2.4363 Se
4.9668 -4.9028 1.4662 Se
1.6831 -6.9554 2.8319 Se
0.0000 0.0000 0.0000 Se
8.5988 -9.4809 2.9764 Se
1.2314 -4.2445 -0.6992 Se
```

Calculated values
ΔE_f (raw)   -0.274 eV/atom

---

[11]
Compound: Tl2BiAuSe4
Source: Alexandria via LeMat-Bulk
Functional: PBE-GGA
Structure: optimized geometry

The structure in POSCAR format:
```
Tl2BiAuSe4
1.0
-0.1887 -3.9370 5.6238
-4.1392 -5.2046 0.4108
3.9322 -5.3468 0.5820
Tl Bi Au Se
2 1 1 4
Cartesian
-0.1035 -5.2757 0.4964 Tl
-0.1978 -7.2442 3.3083 Tl
0.0000 0.0000 0.0000 Bi
-0.0943 -1.9685 2.8119 Au
-1.5455 -2.2233 0.5775 Se
2.3031 -7.0079 5.5650 Se
1.3501 -4.1606 3.3331 Se
-2.6920 -5.0335 2.7649 Se
```

Calculated values
ΔE_f (raw)   -0.107 eV/atom

---

[12]
Compound: U2BiAu2Se2
Source: Alexandria via LeMat-Bulk
Functional: PBE-GGA
Structure: optimized geometry

The structure in POSCAR format:
```
U2BiAu2Se2
1.0
-1.5710 -3.8626 -2.3181
4.4543 0.1113 1.7053
-3.7100 -4.4821 9.9829
U Bi Au Se
2 1 2 2
Cartesian
-0.8569 -4.1017 2.5058 U
0.0302 -4.1318 6.8643 U
0.0000 0.0000 0.0000 Bi
-2.8237 -3.4113 7.5979 Au
-0.8863 -1.0708 2.3850 Au
-1.7769 -5.2131 4.9812 Se
0.9501 -3.0204 4.3889 Se
```

Calculated values
ΔE_f (raw)   -0.168 eV/atom